1 | A plane-wave DFT calculation with GGA-PBE was carried out for ScBeIn after structural relaxation.

Results
Its calculated volume is 57.1 Å³/cell.

Cell lengths 4.322, 4.322, 4.322 Å; angles 60.00, 60.00, 60.00 degrees
Fractional positions:
Sc  0.000  0.000  0.000
Be  0.750  0.750  0.750
In  0.500  0.500  0.500


2 | A plane-wave DFT calculation with GGA-PBE was carried out for ScBeIn after structural relaxation.

Results
Its calculated volume is 110.2 Å³/cell.

Cell lengths 5.077, 5.077, 6.752 Å; angles 117.01, 117.01, 46.79 degrees
Fractional positions:
Sc  0.000  0.000  0.000
Sc  0.240  0.240  0.567
Be  0.302  0.302  0.011
Be  0.533  0.533  0.319
In  0.614  0.614  0.764
In  0.833  0.833  0.304


Stability ranking, top entry: 1; the second entry is 0.062 eV/atom less favorable.


1 | A plane-wave DFT calculation with GGA-PBE was carried out for ScBeIn after structural relaxation.

Results
Its calculated volume is 112.5 Å³/cell.

Cell lengths 4.744, 4.744, 5.770 Å; angles 90.00, 90.00, 120.00 degrees
Fractional positions:
Sc  0.333  0.667  0.250
Sc  0.667  0.333  0.750
Be  0.000  0.000  0.000
Be  0.000  0.000  0.500
In  0.333  0.667  0.750
In  0.667  0.333  0.250


2 | A plane-wave DFT calculation with GGA-PBE was carried out for ScBeIn after structural relaxation.

Results
Its calculated volume is 222.5 Å³/cell.

Cell lengths 6.083, 4.155, 8.806 Å; angles 90.00, 90.00, 90.00 degrees
Fractional positions:
Sc  0.135  0.250  0.093
Sc  0.365  0.750  0.593
Sc  0.635  0.250  0.407
Sc  0.865  0.750  0.907
Be  0.090  0.250  0.743
Be  0.410  0.750  0.243
Be  0.590  0.250  0.757
Be  0.910  0.750  0.257
In  0.137  0.250  0.413
In  0.363  0.750  0.913
In  0.637  0.250  0.087
In  0.863  0.750  0.587


3 | A plane-wave DFT calculation with GGA-PBE was carried out for ScBeIn after structural relaxation.

Results
Its calculated volume is 115.2 Å³/cell.

Cell lengths 4.825, 3.723, 6.610 Å; angles 90.00, 104.11, 90.00 degrees
Fractional positions:
Sc  0.000  0.000  0.000
Sc  0.404  0.000  0.553
Be  0.070  0.500  0.297
Be  0.863  0.000  0.354
In  0.524  0.500  0.141
In  0.926  0.500  0.637


4 | A plane-wave DFT calculation with GGA-PBE was carried out for ScBeIn after structural relaxation.

Results
Its calculated volume is 108.8 Å³/cell.

Cell lengths 3.800, 8.523, 8.523 Å; angles 23.21, 90.00, 90.00 degrees
Fractional positions:
Sc  0.000  0.000  0.000
Sc  0.000  0.214  0.214
Be  0.000  0.836  0.836
Be  0.500  0.767  0.767
In  0.500  0.383  0.383
In  0.500  0.608  0.608


Stability ranking, top entry: 4; the second entry is 0.037 eV/atom less favorable.


1 | A plane-wave DFT calculation with GGA-PBE was carried out for ScBeIn after structural relaxation.

Results
Its calculated volume is 112.2 Å³/cell.

Cell lengths 4.268, 5.542, 5.904 Å; angles 116.97, 90.12, 112.62 degrees
Fractional positions:
Sc  0.000  0.000  0.000
Sc  0.363  0.725  0.488
Be  0.351  0.703  0.023
Be  0.602  0.202  0.329
In  0.101  0.202  0.582
In  0.720  0.440  0.044


2 | A plane-wave DFT calculation with GGA-PBE was carried out for ScBeIn after structural relaxation.

Results
Its calculated volume is 54.8 Å³/cell.

Cell lengths 4.336, 4.336, 3.368 Å; angles 90.00, 90.00, 120.00 degrees
Fractional positions:
Sc  0.000  0.000  0.000
Be  0.667  0.333  0.500
In  0.333  0.667  0.500


3 | A plane-wave DFT calculation with GGA-PBE was carried out for ScBeIn after structural relaxation.

Results
Its calculated volume is 108.9 Å³/cell.

Cell lengths 5.428, 5.428, 6.804 Å; angles 124.52, 124.52, 43.25 degrees
Fractional positions:
Sc  0.070  0.070  0.333
Sc  0.930  0.930  0.667
Be  0.371  0.371  0.341
Be  0.629  0.629  0.659
In  0.317  0.317  0.899
In  0.683  0.683  0.101


Stability ranking, top entry: 3; the second entry is 0.019 eV/atom less favorable.


1 | A plane-wave DFT calculation with GGA-PBE was carried out for ScBeIn after structural relaxation.

Results
Its calculated volume is 54.3 Å³/cell.

Cell lengths 6.081, 6.081, 6.081 Å; angles 150.53, 150.53, 42.17 degrees
Fractional positions:
Sc  0.000  0.000  0.000
Be  0.351  0.351  0.000
In  0.707  0.707  0.000


2 | A plane-wave DFT calculation with GGA-PBE was carried out for ScBeIn after structural relaxation.

Results
Its calculated volume is 116.7 Å³/cell.

Cell lengths 3.668, 3.668, 10.019 Å; angles 90.00, 90.00, 120.00 degrees
Fractional positions:
Sc  0.000  0.000  0.000
Sc  0.333  0.667  0.456
Be  0.000  0.000  0.625
Be  0.667  0.333  0.620
In  0.333  0.667  0.778
In  0.667  0.333  0.223


3 | A plane-wave DFT calculation with GGA-PBE was carried out for ScBeIn after structural relaxation.

Results
Its calculated volume is 215.1 Å³/cell.

Cell lengths 5.901, 4.374, 8.332 Å; angles 90.00, 90.00, 90.00 degrees
Fractional positions:
Sc  0.180  0.250  0.076
Sc  0.320  0.750  0.576
Sc  0.680  0.250  0.424
Sc  0.820  0.750  0.924
Be  0.174  0.250  0.410
Be  0.326  0.750  0.910
Be  0.674  0.250  0.090
Be  0.826  0.750  0.590
In  0.022  0.250  0.715
In  0.478  0.750  0.215
In  0.522  0.250  0.785
In  0.978  0.750  0.285


4 | A plane-wave DFT calculation with GGA-PBE was carried out for ScBeIn after structural relaxation.

Results
Its calculated volume is 110.3 Å³/cell.

Cell lengths 5.511, 5.511, 5.511 Å; angles 133.86, 104.29, 93.45 degrees
Fractional positions:
Sc  0.000  0.000  0.000
Sc  0.513  0.013  0.500
Be  0.024  0.338  0.687
Be  0.651  0.338  0.313
In  0.410  0.675  0.735
In  0.939  0.675  0.265


Stability ranking, top entry: 4; the second entry is 0.085 eV/atom less favorable.


1 | A plane-wave DFT calculation with GGA-PBE was carried out for Sc3BeIn after structural relaxation.

Results
Its calculated volume is 149.4 Å³/cell.

Cell lengths 5.306, 5.306, 5.306 Å; angles 90.00, 90.00, 90.00 degrees
Fractional positions:
Sc  0.000  0.000  0.500
Sc  0.000  0.500  0.000
Sc  0.500  0.000  0.000
Be  0.500  0.500  0.500
In  0.000  0.000  0.000


2 | A plane-wave DFT calculation with GGA-PBE was carried out for Sc3BeIn after structural relaxation.

Results
Its calculated volume is 113.0 Å³/cell.

Cell lengths 4.835, 4.835, 4.835 Å; angles 90.00, 90.00, 90.00 degrees
Fractional positions:
Sc  0.000  0.000  0.500
Sc  0.000  0.500  0.000
Sc  0.500  0.000  0.000
Be  0.000  0.000  0.000
In  0.500  0.500  0.500


Stability ranking, top entry: 2; the second entry is 0.895 eV/atom less favorable.


1 | A plane-wave DFT calculation with GGA-PBE was carried out for ScBe2In2 after structural relaxation.

Results
Its calculated volume is 89.9 Å³/cell.

Cell lengths 6.322, 6.322, 6.322 Å; angles 143.25, 143.25, 52.95 degrees
Fractional positions:
Sc  0.000  0.000  0.000
Be  0.250  0.750  0.500
Be  0.750  0.250  0.500
In  0.379  0.379  0.000
In  0.621  0.621  0.000


2 | A plane-wave DFT calculation with GGA-PBE was carried out for ScBe2In2 after structural relaxation.

Results
Its calculated volume is 87.8 Å³/cell.

Cell lengths 5.989, 5.989, 5.989 Å; angles 140.04, 140.04, 57.79 degrees
Fractional positions:
Sc  0.000  0.000  0.000
Be  0.403  0.403  0.000
Be  0.597  0.597  0.000
In  0.250  0.750  0.500
In  0.750  0.250  0.500


Stability ranking, top entry: 2; the second entry is 0.091 eV/atom less favorable.